Entry 1:
A relaxed Ga2CF crystal, computed with GGA-PBE.

a = 4.042 Å, b = 4.042 Å, c = 4.042 Å
α = 60.00°, β = 60.00°, γ = 60.00°
Sites, in units of the cell vectors:
C  0.000  0.000  0.000
Ga  0.250  0.250  0.250
Ga  0.750  0.750  0.750
F  0.500  0.500  0.500

Summary:
Final energy in eV per cell: -16.21
Raw formation energy in eV/atom: 0.235
Space group: Fm-3m (225)

Entry 2:
A relaxed GaCF2 crystal, computed with GGA-PBE.

a = 6.012 Å, b = 6.012 Å, c = 6.240 Å
α = 61.20°, β = 61.20°, γ = 90.00°
Last column: magnetic moment on the atom in μB.
Sites, in units of the cell vectors:
C  0.500  0.500  0.000  1.01
C  0.250  0.750  0.500  1.01
Ga  0.000  0.000  0.000  -0.10
Ga  0.750  0.250  0.500  -0.10
F  0.816  0.125  0.250  0.00
F  0.934  0.625  0.250  0.00
F  0.375  0.184  0.750  -0.01
F  0.875  0.066  0.750  0.00

Summary:
Final energy in eV per cell: -29.35
Raw formation energy in eV/atom: 0.330
Space group: I-42d (122)

Entry 3:
A relaxed GaCF2 crystal, computed with GGA-PBE.

a = 7.441 Å, b = 7.441 Å, c = 7.441 Å
α = 20.77°, β = 20.77°, γ = 20.77°
Sites, in units of the cell vectors:
C  0.500  0.500  0.500
Ga  0.000  0.000  0.000
F  0.910  0.910  0.910
F  0.090  0.090  0.090

Summary:
Final energy in eV per cell: -14.25
Raw formation energy in eV/atom: 0.436
Space group: R-3m (166)

Entry 4:
A relaxed KGaC2F crystal, computed with GGA-PBE.

a = 4.836 Å, b = 4.232 Å, c = 4.836 Å
α = 90.00°, β = 90.00°, γ = 90.00°
Last column: magnetic moment on the atom in μB.
Sites, in units of the cell vectors:
K  0.500  0.500  0.500  0.03
C  0.000  0.000  0.500  0.78
C  0.500  0.000  0.000  0.77
Ga  0.000  0.500  0.000  0.00
F  0.000  0.000  0.000  0.02

Summary:
Final energy in eV per cell: -15.02
Raw formation energy in eV/atom: 1.884
Space group: P4/mmm (123)

Entry 5:
A relaxed KGaCF2 crystal, computed with GGA-PBE.

a = 4.941 Å, b = 3.540 Å, c = 4.941 Å
α = 90.00°, β = 90.00°, γ = 90.00°
Last column: magnetic moment on the atom in μB.
Sites, in units of the cell vectors:
K  0.500  0.500  0.500  0.00
C  0.000  0.000  0.000  0.32
Ga  0.000  0.500  0.000  0.05
F  0.000  0.000  0.500  0.10
F  0.500  0.000  0.000  0.06

Summary:
Final energy in eV per cell: -19.38
Raw formation energy in eV/atom: -0.457
Space group: P4/mmm (123)

Entry 6:
A relaxed Ga2CNF crystal, computed with GGA-PBE.

a = 4.512 Å, b = 3.666 Å, c = 4.512 Å
α = 90.00°, β = 90.00°, γ = 90.00°
Sites, in units of the cell vectors:
C  0.000  0.500  0.000
N  0.500  0.500  0.500
Ga  0.000  0.000  0.500
Ga  0.500  0.000  0.000
F  0.000  0.000  0.000

Summary:
Final energy in eV per cell: -16.68
Raw formation energy in eV/atom: 1.759
Space group: P4/mmm (123)

Entry 7:
A relaxed GaCN2F crystal, computed with GGA-PBE.

a = 3.969 Å, b = 3.969 Å, c = 3.817 Å
α = 90.00°, β = 90.00°, γ = 90.00°
Last column: magnetic moment on the atom in μB.
Sites, in units of the cell vectors:
C  0.500  0.500  0.500  -0.59
N  0.000  0.500  0.000  0.99
N  0.500  0.000  0.000  0.99
Ga  0.000  0.000  0.000  0.00
F  0.000  0.000  0.500  0.03

Summary:
Final energy in eV per cell: -21.48
Raw formation energy in eV/atom: 1.859
Space group: P4/mmm (123)

Entry 8:
A relaxed GaCN2F crystal, computed with GGA-PBE.

a = 3.105 Å, b = 3.105 Å, c = 5.786 Å
α = 90.00°, β = 90.00°, γ = 90.00°
Sites, in units of the cell vectors:
C  0.000  0.000  0.000
N  0.000  0.500  0.000
N  0.500  0.000  0.000
Ga  0.500  0.500  0.500
F  0.000  0.000  0.500

Summary:
Final energy in eV per cell: -24.75
Raw formation energy in eV/atom: 1.205
Space group: P4/mmm (123)

> Which of these has the highest final energy?

number 3

> Which value of final energy does entry 1 give?

-16.21 eV per cell

> Which of these has the lowest final energy?

number 2

> Which of these has the lowest final energy?

number 2